Compound: Ta8As2C3N3
Source: OQMD via LeMat-Bulk
Functional: PBE-GGA
Structure: optimized geometry

Lattice parameters (Å, degrees): 3.1881 3.1881 22.7270 90.00 90.00 120.00
Positions (direct):
C  0.0000  0.0000  0.5000
Ta  0.0000  0.0000  0.1659
N  0.3333  0.6667  0.1090
N  0.6667  0.3333  0.8910
As  0.6667  0.3333  0.2481
Ta  0.0000  0.0000  0.3349
C  0.6667  0.3333  0.6134
C  0.3333  0.6667  0.3866
Ta  0.0000  0.0000  0.6651
As  0.3333  0.6667  0.7519
Ta  0.6667  0.3333  0.0535
Ta  0.6667  0.3333  0.4415
Ta  0.3333  0.6667  0.9465
N  0.0000  0.0000  0.0000
Ta  0.0000  0.0000  0.8341
Ta  0.3333  0.6667  0.5585

Summary:
For the total energy, the calculation gives -0.3830 hartree per atom.